Record 1
Density functional theory data (PBE) for a relaxed structure of PaZnRhO6.

The calculation puts the formation energy (no corrections) at -176.3 kJ/mol of atoms. The calculation puts the total energy at -7.146 eV/atom.

The space group is P4_2nm (No. 102) and the conventional cell measures 4.861, 4.861 and 9.681 Å, with angles of 90.00, 90.00 and 90.00 degrees. Symmetry generates all atoms from Pa at (0.000, 0.000, 0.000), Zn at (0.000, 0.000, 0.666), Rh at (0.000, 0.000, 0.332), O at (0.186, 0.186, 0.491), O at (0.195, 0.195, 0.177) and O at (0.214, 0.214, 0.832).



Record 2
Density functional theory data (PBE) for a relaxed structure of ZrPaRhO6.

The calculation puts the formation energy (no corrections) at -252.6 kJ/mol of atoms. The calculation puts the total energy at -8.746 eV/atom.

The space group is P4_2nm (No. 102) and the conventional cell measures 4.943, 4.943 and 9.872 Å, with angles of 90.00, 90.00 and 90.00 degrees. Symmetry generates all atoms from Zr at (0.000, 0.000, 0.000), Pa at (0.000, 0.000, 0.337), Rh at (0.000, 0.000, 0.667), O at (0.187, 0.187, 0.831), O at (0.197, 0.197, 0.509) and O at (0.199, 0.199, 0.165).



Record 3
Density functional theory data (PBE) for a relaxed structure of PaRuO.

The calculation puts the formation energy (no corrections) at -156.3 kJ/mol of atoms. The calculation puts the total energy at -9.530 eV/atom.

The space group is Pnma (No. 62) and the conventional cell measures 7.656, 4.077 and 6.430 Å, with angles of 90.00, 90.00 and 90.00 degrees. Symmetry generates all atoms from Pa at (0.184, 0.250, 0.114), Ru at (0.052, 0.750, 0.409) and O at (0.110, 0.750, 0.932).



Record 4
Density functional theory data (PBE) for a relaxed structure of PaRu2O6.

The calculation puts the formation energy (no corrections) at -173.5 kJ/mol of atoms. The calculation puts the total energy at -8.220 eV/atom.

The space group is P321 (No. 150) and the conventional cell measures 9.0689, 9.0689 and 4.6063 Å, with angles of 90.00, 90.00 and 120.00 degrees. Symmetry generates all atoms from Pa at (0.0000, 0.0000, 0.0000), Pa at (0.3333, 0.6667, 0.5016), Ru at (0.0000, 0.3414, 0.0000), Ru at (0.0000, 0.6742, 0.5000), O at (0.0980, 0.5541, 0.2501), O at (0.1151, 0.2357, 0.2477) and O at (0.2121, 0.4320, 0.7523).



Record 5
Density functional theory data (PBE) for a relaxed structure of PaRuO4.

The calculation puts the formation energy (no corrections) at -225.9 kJ/mol of atoms. The calculation puts the total energy at -8.776 eV/atom.

The space group is P2_1/c (No. 14) and the conventional cell measures 5.824, 5.120 and 5.943 Å, with angles of 90.00, 115.35 and 90.00 degrees. Symmetry generates all atoms from Pa at (0.000, 0.000, 0.000), Ru at (0.500, 0.000, 0.500), O at (0.151, 0.174, 0.372) and O at (0.368, 0.706, 0.655).



Record 6
Density functional theory data (PBE) for a relaxed structure of Pa2RuO8.

The calculation puts the formation energy (no corrections) at -226.9 kJ/mol of atoms. The calculation puts the total energy at -8.528 eV/atom.

The space group is P-1 (No. 2) and the conventional cell measures 4.474, 5.459 and 6.930 Å, with angles of 82.70, 73.80 and 78.45 degrees. Symmetry generates all atoms from Pa at (0.163, 0.019, 0.222), Ru at (0.000, 0.500, 0.500), O at (0.063, 0.601, 0.742), O at (0.214, 0.144, 0.513), O at (0.305, 0.959, 0.902) and O at (0.342, 0.644, 0.319).



Magnetization: 2.1, 0.0, 0.0, 1.8, 0.9, 2.0 (μB/f.u.)